Entry 1:
A geometry-optimized TiAlSe3 structure, computed with GGA-PBE.

a = 4.8280 Å, b = 4.8280 Å, c = 4.8280 Å
α = 90.00°, β = 90.00°, γ = 90.00°
With the nearest neighbours (Å) after each atom.
Atoms (fractional coordinates):
Ti 0.0000 0.0000 0.0000  12 Se 3.41
Al 0.5000 0.5000 0.5000  6 Se 2.41
Se 0.0000 0.5000 0.5000  2 Al 2.41
Se 0.5000 0.0000 0.5000  2 Al 2.41
Se 0.5000 0.5000 0.0000  2 Al 2.41

## Properties
E above lowest polymorph ... 0.8577 eV per atom
ΔE_f (raw) ... 0.0654 eV/atom

---

Entry 2:
A geometry-optimized BaMnFeSi2 structure, computed with GGA-PBE.

a = 4.4661 Å, b = 4.4661 Å, c = 4.9318 Å
α = 90.00°, β = 90.00°, γ = 90.00°
With the nearest neighbours (Å) after each atom.
Atoms (fractional coordinates):
Ba 0.0000 0.0000 0.0000  4 Fe 3.16, 8 Si 3.33
Mn 0.5000 0.5000 0.5000  4 Si 2.23, 2 Fe 2.47
Fe 0.5000 0.5000 0.0000  2 Mn 2.47
Si 0.0000 0.5000 0.5000  2 Mn 2.23
Si 0.5000 0.0000 0.5000  2 Mn 2.23

## Properties
ΔE_f (raw) ... 0.1449 eV/atom

---

Which value of ΔE_f (raw) does entry 2 give? 0.1449 eV/atom